Record 1
Below is a relaxed CePrC crystal, with properties calculated at the PBE level.

Cell: 3.555 3.326 6.130 Å, 105.74 90.02 90.00°
Fractional positions:
Pr: 0.511 0.119 0.238
Ce: 0.012 0.355 0.710
C: 0.512 0.795 0.590

Summary:
* total magnetic moment: 0.00 μB per cell
* DFT total energy: -6.534 eV per atom
* formation enthalpy at 0 K: 10.8 kJ/mol of atoms
* relative energy among the computed polymorphs: 208 meV per atom

Record 2
Below is a relaxed Ce2PrC3 crystal, with properties calculated at the PBE level.

Cell: 5.731 7.098 7.098 Å, 65.40 66.19 66.19°
Fractional positions:
Pr: 0.250 0.303 0.197
C: 0.880 0.500 0.500
Ce: 0.926 0.905 0.243
Ce: 0.074 0.095 0.757
C: 0.000 0.000 0.500
C: 0.620 0.000 0.000
Ce: 0.574 0.257 0.595
C: 0.380 0.000 0.000
C: 0.500 0.000 0.500
C: 0.120 0.500 0.500
Pr: 0.750 0.697 0.803
Ce: 0.426 0.743 0.405

Summary:
* total magnetic moment: 0.00 μB per cell
* DFT total energy: -7.464 eV per atom
* formation enthalpy at 0 K: -7.5 kJ/mol of atoms

- Which value of DFT total energy does entry 1 give?
  -6.534 eV per atom

- Look up the total magnetic moment of the second one.
  0.00 μB per cell

- Among the records above, which one has the lowest DFT total energy?
  Ce2PrC3